No. 1
DFT (PBE) results for a geometry-optimized NaGaAsH structure.

Cell lengths 4.006, 4.006, 10.905 Å; angles 90.00, 90.00, 120.00 degrees
Sites, in units of the cell vectors:
Na: 0.333 0.667 0.927
Na: 0.667 0.333 0.427
Ga: 0.000 0.000 0.151
Ga: 0.000 0.000 0.651
As: 0.667 0.333 0.734
As: 0.333 0.667 0.234
H: 0.000 0.000 0.500
H: 0.000 0.000 0.000

Results
Symmetry: P6_3mc, No. 186
Magnetic moment, μB/f.u.: 0.0



No. 2
DFT (PBE) results for a geometry-optimized SrLiPb2 structure.

Cell lengths 10.277, 10.277, 10.277 Å; angles 21.20, 21.20, 21.20 degrees
Sites, in units of the cell vectors:
Li: 0.750 0.750 0.750
Pb: 0.009 0.009 0.009
Pb: 0.491 0.491 0.491
Sr: 0.250 0.250 0.250

Results
Symmetry: R-3m, No. 166
Magnetic moment, μB/f.u.: 0.0
Formation energy, meV/atom: -169



No. 3
DFT (PBE) results for a geometry-optimized GeSb2Pb structure.

Cell lengths 4.150, 4.150, 7.963 Å; angles 74.90, 74.90, 60.00 degrees
Sites, in units of the cell vectors:
Pb: 0.500 0.500 0.500
Sb: 0.261 0.261 0.216
Sb: 0.739 0.739 0.784
Ge: 0.000 0.000 0.000

Results
E_form (uncorrected), eV/atom: 0.124
Energy above the lowest structure with this stoichiometry, eV/f.u.: 0.00
Symmetry: R-3m, No. 166
Magnetic moment, μB/f.u.: 0.0



No. 4
DFT (PBE) results for a geometry-optimized Cs2HfI4Br2 structure.

Cell lengths 7.023, 8.105, 8.105 Å; angles 61.54, 84.87, 84.87 degrees
Sites, in units of the cell vectors:
Cs: 0.228 0.663 0.663
Cs: 0.772 0.337 0.337
Hf: 0.500 0.000 0.000
I: 0.294 0.662 0.154
I: 0.706 0.846 0.338
I: 0.706 0.338 0.846
I: 0.294 0.154 0.662
Br: 0.240 0.147 0.147
Br: 0.760 0.853 0.853

Results
E_form (uncorrected), eV/atom: -1.368
Symmetry: C2/m, No. 12
Magnetic moment, μB/f.u.: 0.0



No. 5
DFT (PBE) results for a geometry-optimized Pm7GaBr12 structure.

Cell lengths 9.415, 9.415, 9.415 Å; angles 107.96, 107.96, 107.96 degrees
Sites, in units of the cell vectors:
Pm: 0.962 0.669 0.886
Pm: 0.331 0.114 0.038
Pm: 0.114 0.038 0.331
Pm: 0.500 0.500 0.500
Pm: 0.886 0.962 0.669
Pm: 0.669 0.886 0.962
Pm: 0.038 0.331 0.114
Ga: 0.000 0.000 0.000
Br: 0.922 0.309 0.772
Br: 0.691 0.228 0.078
Br: 0.473 0.160 0.392
Br: 0.840 0.608 0.527
Br: 0.228 0.078 0.691
Br: 0.608 0.527 0.840
Br: 0.392 0.473 0.160
Br: 0.772 0.922 0.309
Br: 0.160 0.392 0.473
Br: 0.527 0.840 0.608
Br: 0.309 0.772 0.922
Br: 0.078 0.691 0.228

Results
E_form (uncorrected), eV/atom: -1.606
Symmetry: R-3, No. 148
Magnetic moment, μB/f.u.: 0.0



No. 6
DFT (PBE) results for a geometry-optimized MnSbPb2 structure.

Cell lengths 7.899, 7.899, 7.899 Å; angles 154.63, 148.70, 40.71 degrees
Site moments in Bohr magnetons follow the coordinates.
Sites, in units of the cell vectors:
Mn: 0.250 0.750 0.500  3.52
Pb: 0.073 0.073 0.000  -0.03
Pb: 0.427 0.427 0.000  -0.03
Sb: 0.750 0.250 0.500  -0.05

Results
E_form (uncorrected), eV/atom: 0.178
Symmetry: Immm, No. 71
Magnetic moment, μB/f.u.: 3.5



No. 7
DFT (PBE) results for a geometry-optimized CuGePd5 structure.

Cell lengths 8.397, 8.397, 4.858 Å; angles 62.79, 62.79, 106.02 degrees
Sites, in units of the cell vectors:
Cu: 0.000 0.000 0.000
Cu: 0.000 0.000 0.500
Ge: 0.289 0.711 0.250
Ge: 0.711 0.289 0.750
Pd: 0.720 0.594 0.281
Pd: 0.920 0.633 0.606
Pd: 0.594 0.720 0.781
Pd: 0.799 0.201 0.250
Pd: 0.367 0.080 0.894
Pd: 0.633 0.920 0.106
Pd: 0.201 0.799 0.750
Pd: 0.406 0.280 0.219
Pd: 0.080 0.367 0.394
Pd: 0.280 0.406 0.719

Results
Symmetry: C2/c, No. 15
Magnetic moment, μB/f.u.: 0.0
Formation energy, meV/atom: -261



No. 8
DFT (PBE) results for a geometry-optimized Y2CdBIr structure.

Cell lengths 5.117, 5.117, 4.012 Å; angles 90.00, 90.00, 90.00 degrees
Sites, in units of the cell vectors:
Y: 0.000 0.500 0.000
Y: 0.500 0.000 0.000
B: 0.000 0.000 0.000
Ir: 0.000 0.000 0.500
Cd: 0.500 0.500 0.500

Results
Symmetry: P4/mmm, No. 123
Magnetic moment, μB/f.u.: 0.0
Formation energy, meV/atom: -520



no.,VASP energy (hartree per atom)
1,-0.126
2,-0.107
3,-0.148
4,-0.137
5,-0.163
6,-0.184
7,-0.192
8,-0.235